Record 1
An optimized crystal structure of RbReBr3, computed with PBE.

Cell lengths 5.122, 5.410, 13.499 Å; angles 84.97, 79.40, 89.98 degrees
Space group P-1 (No. 2)
One atom of each set of equivalent atoms:
Rb1 0.189 0.225 0.126 (multiplicity 2)
Re1 0.250 0.000 0.500 (multiplicity 2)
Br1 0.064 0.784 0.369 (multiplicity 2)
Br2 0.313 0.275 0.871 (multiplicity 2)
Br3 0.444 0.690 0.616 (multiplicity 2)

Properties
formation energy (no corrections)	-2.2	eV/f.u.
volume	36.62	Å³/atom
polymorph energy (0 for the lowest one)	0.000	eV per atom
crystal system	triclinic

Record 2
An optimized crystal structure of ZnSb2Ir, computed with PBE.

Cell lengths 6.053, 6.053, 12.135 Å; angles 90.00, 90.00, 90.00 degrees
Space group I-42d (No. 122)
One atom of each set of equivalent atoms:
Zn1 0.000 0.000 0.000 (multiplicity 4)
Sb1 0.229 0.250 0.625 (multiplicity 8)
Ir1 0.000 0.000 0.500 (multiplicity 4)

Properties
formation energy (no corrections)	0.7	eV/f.u.
volume	27.79	Å³/atom
polymorph energy (0 for the lowest one)	0.237	eV per atom
crystal system	tetragonal

Q: Among the records above, which one has the highest formation energy (no corrections)?
A: ZnSb2Ir

Q: Which formula does entry 1 have?
A: RbReBr3

Please write out number 1 again, unchanged.
An optimized crystal structure of RbReBr3, computed with PBE.

Cell lengths 5.122, 5.410, 13.499 Å; angles 84.97, 79.40, 89.98 degrees
Space group P-1 (No. 2)
One atom of each set of equivalent atoms:
Rb1 0.189 0.225 0.126 (multiplicity 2)
Re1 0.250 0.000 0.500 (multiplicity 2)
Br1 0.064 0.784 0.369 (multiplicity 2)
Br2 0.313 0.275 0.871 (multiplicity 2)
Br3 0.444 0.690 0.616 (multiplicity 2)

Properties
formation energy (no corrections)	-2.2	eV/f.u.
volume	36.62	Å³/atom
polymorph energy (0 for the lowest one)	0.000	eV per atom
crystal system	triclinic

Q: Look up the volume of the second one.
A: 27.79 Å³/atom